Computed, not measured: an optimized crystal structure of Zr3BSe2 at the PBE level of DFT.

The structure in POSCAR format:
```
Zr3BSe2
1.0
-6.0660 -1.8353 1.6949
1.6836 -3.2228 -5.4604
6.4005 -5.6997 8.0372
Zr B Se
12 4 8
direct
0.9538 0.9093 0.3163
0.4501 0.9501 0.5000
0.0499 0.5499 0.5000
0.1593 0.7038 0.8163
0.2001 0.2001 0.0000
0.6570 0.1125 0.8163
0.2962 0.8407 0.1837
0.7999 0.7999 0.0000
0.8875 0.3430 0.1837
0.0907 0.0462 0.6837
0.3625 0.4070 0.3163
0.5930 0.6375 0.6837
0.0837 0.0837 0.1674
0.9163 0.9163 0.8326
0.3337 0.8337 0.6674
0.1663 0.6663 0.3326
0.5790 0.5790 0.1580
0.6710 0.1710 0.3420
0.4210 0.4210 0.8420
0.7450 0.7450 0.4899
0.2550 0.2550 0.5101
0.5050 0.0050 0.0101
0.8290 0.3290 0.6580
0.9950 0.4950 0.9899
```

E_tot: -183.935 eV/cell
formation energy (no corrections): -1.12 eV per atom